VASP calculation (PBE) on an optimized crystal structure of HfIr3Se.

Lattice parameters (Å, degrees): 4.853 4.853 4.853 90.00 90.00 90.00
Fractional positions:
Hf 0.000 0.000 0.000
Ir 0.000 0.000 0.500
Ir 0.000 0.500 0.000
Ir 0.500 0.000 0.000
Se 0.500 0.500 0.500

## Properties
The density comes out at 12.12 g/cm3. The magnetic moment is 0.95 μB/cell. As for the distance to the lowest polymorph of the same formula: 0.9021 eV/atom. For the formation energy (no corrections), the calculation gives 1.6666 eV per atom. For the total energy, the calculation gives -6.338 eV per atom. As for the density of states at the Fermi level: 1.659 states/eV/atom.

VASP calculation (PBE) on an optimized crystal structure of SrHfIr2Se.

Lattice parameters (Å, degrees): 4.765 4.765 6.752 90.00 90.00 90.00
Fractional positions:
Sr 0.000 0.000 0.000
Hf 0.000 0.000 0.500
Ir 0.000 0.500 0.500
Ir 0.500 0.000 0.500
Se 0.500 0.500 0.000

## Properties
The density comes out at 7.90 g/cm3. The magnetic moment is 0.00 μB/cell. For the formation energy (no corrections), the calculation gives 0.7705 eV per atom. For the total energy, the calculation gives -5.798 eV per atom. As for the density of states at the Fermi level: 0.391 states/eV/atom.

VASP calculation (PBE) on an optimized crystal structure of HfTcIr2Se.

Lattice parameters (Å, degrees): 4.735 4.735 4.634 90.00 90.00 90.00
Fractional positions:
Hf 0.000 0.000 0.000
Tc 0.500 0.500 0.500
Ir 0.000 0.500 0.500
Ir 0.500 0.000 0.500
Se 0.500 0.500 0.000

## Properties
The density comes out at 11.82 g/cm3. The magnetic moment is 0.00 μB/cell. For the formation energy (no corrections), the calculation gives 0.9309 eV per atom. For the total energy, the calculation gives -7.374 eV per atom. As for the density of states at the Fermi level: 1.224 states/eV/atom.